First-principles (PBE) data for an optimized crystal structure of SmTmSn, as listed in Alexandria via LeMat-Bulk.

a = 9.000 Å, b = 9.000 Å, c = 9.000 Å
α = 150.42°, β = 150.42°, γ = 42.32°
Element x y z (fractional)
Sm: 0.175 0.175 0.000
Sm: 0.825 0.825 0.000
Tm: 0.000 0.500 0.500
Tm: 0.500 0.000 0.500
Sn: 0.367 0.367 0.000
Sn: 0.633 0.633 0.000

Total magnetization, μB per cell: 0.64
Energy of formation, eV/atom: -0.61
Polymorph energy (0 for the lowest one), eV/f.u.: 0.00